# 1
Here is a relaxed structure of Nd3Ag4Au4 from the Alexandria database. Energies are from GGA-PBE.

Crystal system   triclinic
DFT total energy   -0.2935 Ry/atom

abc: 3.595 4.623 15.387
angles: 98.63 96.58 90.01
Fractional positions:
Nd 0.000 0.000 0.000
Nd 0.143 0.641 0.284
Nd 0.857 0.359 0.716
Ag 0.259 0.260 0.519
Ag 0.405 0.906 0.811
Ag 0.595 0.094 0.189
Ag 0.741 0.740 0.481
Au 0.314 0.816 0.630
Au 0.454 0.454 0.907
Au 0.546 0.546 0.093
Au 0.686 0.184 0.370

# 2
Here is a relaxed structure of ZrRuAu2 from the Alexandria database. Energies are from GGA-PBE.

Distance to the lowest polymorph of the same formula   67 meV per atom
Crystal system   tetragonal

abc: 3.476 3.476 5.940
angles: 90.00 90.00 90.00
Fractional positions:
Zr 0.000 0.000 0.000
Ru 0.500 0.500 0.781
Au 0.000 0.000 0.518
Au 0.500 0.500 0.276

# 3
Here is a relaxed structure of Tb3NdRh4 from the Alexandria database. Energies are from GGA-PBE.

Crystal system   tetragonal
DFT total energy   -0.4992 Ry/atom

abc: 4.939 4.939 6.835
angles: 90.00 90.00 90.00
Fractional positions:
Tb 0.000 0.000 0.000
Tb 0.000 0.000 0.500
Tb 0.500 0.500 0.000
Nd 0.500 0.500 0.500
Rh 0.000 0.500 0.245
Rh 0.000 0.500 0.755
Rh 0.500 0.000 0.245
Rh 0.500 0.000 0.755

# 4
Here is a relaxed structure of TiV2W4 from the Alexandria database. Energies are from GGA-PBE.

Distance to the lowest polymorph of the same formula   216 meV per atom
Crystal system   tetragonal

abc: 6.574 6.574 5.339
angles: 90.00 90.00 90.00
Fractional positions:
Ti 0.000 0.000 0.000
Ti 0.500 0.500 0.500
V 0.000 0.500 0.250
V 0.000 0.500 0.750
V 0.500 0.000 0.250
V 0.500 0.000 0.750
W 0.194 0.194 0.500
W 0.194 0.806 0.500
W 0.306 0.306 0.000
W 0.306 0.694 0.000
W 0.694 0.306 0.000
W 0.694 0.694 0.000
W 0.806 0.194 0.500
W 0.806 0.806 0.500

# 5
Here is a relaxed structure of Ce2DyNi2Ge2 from the Alexandria database. Energies are from GGA-PBE.

Crystal system   trigonal
DFT total energy   -0.4385 Ry/atom

abc: 9.205 9.205 9.205
angles: 26.37 26.37 26.37
Fractional positions:
Ce 0.137 0.137 0.137
Ce 0.863 0.863 0.863
Dy 0.000 0.000 0.000
Ni 0.407 0.407 0.407
Ni 0.593 0.593 0.593
Ge 0.264 0.264 0.264
Ge 0.736 0.736 0.736

# 6
Here is a relaxed structure of RbFeTe2 from the Alexandria database. Energies are from GGA-PBE.

ΔE_f (raw)   -0.242 eV per atom
Crystal system   tetragonal

abc: 7.886 7.886 8.676
angles: 90.00 90.00 90.00
Fractional positions:
Rb 0.000 0.000 0.000
Rb 0.000 0.500 0.250
Rb 0.500 0.000 0.750
Rb 0.500 0.500 0.500
Fe 0.000 0.000 0.500
Fe 0.000 0.500 0.750
Fe 0.500 0.000 0.250
Fe 0.500 0.500 0.000
Te 0.126 0.250 0.625
Te 0.250 0.626 0.875
Te 0.250 0.874 0.375
Te 0.374 0.250 0.125
Te 0.626 0.750 0.125
Te 0.750 0.126 0.375
Te 0.750 0.374 0.875
Te 0.874 0.750 0.625

# 7
Here is a relaxed structure of La2CeTl2 from the Alexandria database. Energies are from GGA-PBE.

Distance to the lowest polymorph of the same formula   4 meV per atom
Crystal system   monoclinic

abc: 6.129 6.129 11.755
angles: 94.56 94.56 44.05
Fractional positions:
La 0.046 0.046 0.351
La 0.148 0.148 0.052
La 0.852 0.852 0.948
La 0.954 0.954 0.649
Ce 0.226 0.226 0.737
Ce 0.774 0.774 0.263
Tl 0.345 0.345 0.456
Tl 0.456 0.456 0.148
Tl 0.544 0.544 0.852
Tl 0.655 0.655 0.544

# 8
Here is a relaxed structure of LaCe2Sm3P6 from the Alexandria database. Energies are from GGA-PBE.

Crystal system   monoclinic
DFT total energy   -0.5025 Ry/atom

abc: 7.151 7.151 7.142
angles: 99.61 99.61 120.00
Fractional positions:
La 0.000 0.000 0.000
Ce 0.333 0.667 0.000
Ce 0.667 0.333 0.000
Sm 0.165 0.835 0.500
Sm 0.500 0.500 0.500
Sm 0.835 0.165 0.500
P 0.083 0.424 0.249
P 0.258 0.258 0.750
P 0.424 0.083 0.249
P 0.576 0.917 0.751
P 0.742 0.742 0.250
P 0.917 0.576 0.751

# 9
Here is a relaxed structure of DyEr8Th2 from the Alexandria database. Energies are from GGA-PBE.

Distance to the lowest polymorph of the same formula   0 meV per atom
Crystal system   monoclinic

abc: 8.922 8.922 6.586
angles: 99.11 99.11 42.95
Fractional positions:
Dy 0.000 0.000 0.000
Er 0.174 0.654 0.596
Er 0.199 0.199 0.816
Er 0.346 0.826 0.404
Er 0.410 0.410 0.096
Er 0.590 0.590 0.904
Er 0.654 0.174 0.596
Er 0.801 0.801 0.184
Er 0.826 0.346 0.404
Th 0.248 0.248 0.335
Th 0.752 0.752 0.665

# 10
Here is a relaxed structure of Ca3PmIn4 from the Alexandria database. Energies are from GGA-PBE.

Crystal system   tetragonal
DFT total energy   -0.2343 Ry/atom

abc: 3.826 3.826 15.593
angles: 90.00 90.00 90.00
Fractional positions:
Ca 0.000 0.000 0.000
Ca 0.000 0.000 0.248
Ca 0.000 0.000 0.752
Pm 0.000 0.000 0.500
In 0.500 0.500 0.125
In 0.500 0.500 0.373
In 0.500 0.500 0.627
In 0.500 0.500 0.875

# 11
Here is a relaxed structure of Nd2Dy12Th from the Alexandria database. Energies are from GGA-PBE.

Crystal system   orthorhombic
DFT total energy   -0.3409 Ry/atom

abc: 6.695 6.695 24.775
angles: 90.00 90.00 116.95
Fractional positions:
Nd 0.250 0.750 0.235
Nd 0.250 0.750 0.771
Nd 0.750 0.250 0.229
Nd 0.750 0.250 0.765
Dy 0.001 0.501 0.625
Dy 0.001 0.999 0.424
Dy 0.010 0.510 0.085
Dy 0.013 0.987 0.938
Dy 0.250 0.250 0.173
Dy 0.250 0.250 0.301
Dy 0.250 0.250 0.699
Dy 0.250 0.250 0.827
Dy 0.487 0.513 0.938
Dy 0.490 0.990 0.085
Dy 0.499 0.501 0.424
Dy 0.499 0.999 0.625
Dy 0.501 0.001 0.375
Dy 0.501 0.499 0.576
Dy 0.510 0.010 0.915
Dy 0.513 0.487 0.062
Dy 0.750 0.750 0.173
Dy 0.750 0.750 0.301
Dy 0.750 0.750 0.699
Dy 0.750 0.750 0.827
Dy 0.987 0.013 0.062
Dy 0.990 0.490 0.915
Dy 0.999 0.001 0.576
Dy 0.999 0.499 0.375
Th 0.250 0.750 0.500
Th 0.750 0.250 0.500

# 12
Here is a relaxed structure of CeHoInGa from the Alexandria database. Energies are from GGA-PBE.

Distance to the lowest polymorph of the same formula   0 meV per atom
Crystal system   tetragonal

abc: 3.413 3.413 8.526
angles: 90.00 90.00 90.00
Fractional positions:
Ce 0.000 0.000 0.000
Ho 0.000 0.000 0.462
In 0.500 0.500 0.725
Ga 0.500 0.500 0.239

What did the twelfth record say?
Here is a relaxed structure of CeHoInGa from the Alexandria database. Energies are from GGA-PBE.

Distance to the lowest polymorph of the same formula   0 meV per atom
Crystal system   tetragonal

abc: 3.413 3.413 8.526
angles: 90.00 90.00 90.00
Fractional positions:
Ce 0.000 0.000 0.000
Ho 0.000 0.000 0.462
In 0.500 0.500 0.725
Ga 0.500 0.500 0.239